The following is a PBE calculation of an optimized crystal structure of Sm2Pd5Au5, from the Alexandria database.

abc: 4.5534 5.4788 9.4951
angles: 90.00 90.00 90.00
Space group Pmmm (No. 47)
Unique sites:
Sm: 0.0000 0.0000 0.0000
Sm: 0.0000 0.5000 0.5000
Pd: 0.5000 0.0000 0.5000
Pd: 0.5000 0.2491 0.2518
Au: 0.0000 0.0000 0.3329
Au: 0.0000 0.5000 0.1720
Au: 0.5000 0.5000 0.0000

V ... 237 Å³/cell
Magnetic moment ... 0.00 μB per atom
Calculated formation energy ... -0.525 eV per atom
Offset from the most stable computed form ... 13 meV per atom